[1]
{
  "formula": "LiMgAu4",
  "functional": "PBE",
  "state": "optimized geometry",
  "lattice": [[-2.5496, -3.1790, 3.7221], [-2.5155, 2.3056, 4.3378], [-5.5100, -0.0013, 0.3164]],
  "species": ["Mg", "Au", "Au", "Au", "Au", "Li"],
  "frac_coords": [[0.0000, 0.0000, 0.0000], [0.8749, 0.3750, 0.3750], [0.3750, 0.3750, 0.8749], [0.3750, 0.3750, 0.3750], [0.3750, 0.8749, 0.3750], [0.7500, 0.7500, 0.7500]],
  "sg": "F-43m (216)",
  "polymorph_energy_mev_per_atom": 125,
  "magmom_total_mub_per_cell": 0.0,
  "final_energy_ev_per_atom": -3.07,
  "formation_energy_mev_per_atom": -305
}

[2]
{
  "formula": "Li4MgAu3",
  "functional": "PBE",
  "state": "optimized geometry",
  "lattice": [[-0.5225, -1.7428, 3.0511], [-1.5575, -3.3685, -2.1908], [7.2412, -4.0650, -3.1498]],
  "species": ["Au", "Au", "Au", "Mg", "Li", "Li", "Li", "Li"],
  "frac_coords": [[0.8651, 0.1347, 0.7303], [0.1349, 0.8653, 0.2697], [0.0000, 0.5000, 0.0000], [0.5000, 0.0000, 0.0000], [0.2464, 0.2533, 0.4928], [0.7536, 0.7467, 0.5072], [0.6228, 0.3772, 0.2455], [0.3772, 0.6228, 0.7545]],
  "sg": "Immm (71)",
  "magmom_total_mub_per_cell": 0.0,
  "final_energy_ev_per_atom": -2.89,
  "formation_energy_mev_per_atom": -502
}

[3]
{
  "formula": "Li2MgAu9",
  "functional": "PBE",
  "state": "optimized geometry",
  "lattice": [[4.0953, 0.0000, 0.0000], [0.0000, 4.0953, 0.0000], [0.0000, 0.0000, 12.3196]],
  "species": ["Au", "Au", "Au", "Au", "Au", "Au", "Au", "Au", "Au", "Mg", "Li", "Li"],
  "frac_coords": [[0.0000, 0.5000, 0.8295], [0.5000, 0.0000, 0.8295], [0.0000, 0.5000, 0.5000], [0.5000, 0.5000, 0.0000], [0.5000, 0.0000, 0.5000], [0.5000, 0.0000, 0.1705], [0.5000, 0.5000, 0.3355], [0.5000, 0.5000, 0.6645], [0.0000, 0.5000, 0.1705], [0.0000, 0.0000, 0.0000], [0.0000, 0.0000, 0.3371], [0.0000, 0.0000, 0.6629]],
  "sg": "P4/mmm (123)",
  "magmom_total_mub_per_cell": 0.0,
  "final_energy_ev_per_atom": -3.28,
  "formation_energy_mev_per_atom": -366
}

[4]
{
  "formula": "Li2Mg3Au8",
  "functional": "PBE",
  "state": "optimized geometry",
  "lattice": [[-4.3628, 0.5012, -0.2355], [-0.6354, -7.1660, -3.4803], [-0.9962, -6.6220, 4.3615]],
  "species": ["Au", "Au", "Au", "Au", "Au", "Au", "Au", "Au", "Mg", "Mg", "Mg", "Li", "Li"],
  "frac_coords": [[0.0000, 0.8763, 0.8763], [0.5000, 0.6006, 0.1484], [0.5000, 0.1484, 0.6006], [0.0000, 0.6596, 0.6596], [0.5000, 0.8516, 0.3994], [0.0000, 0.3404, 0.3404], [0.0000, 0.1237, 0.1237], [0.5000, 0.3994, 0.8516], [0.5000, 0.0000, 0.0000], [0.0000, 0.2908, 0.7092], [0.0000, 0.7092, 0.2908], [0.5000, 0.7686, 0.7686], [0.5000, 0.2314, 0.2314]],
  "sg": "Cmmm (65)",
  "magmom_total_mub_per_cell": 0.0,
  "final_energy_ev_per_atom": -3.06,
  "formation_energy_mev_per_atom": -383
}

[5]
{
  "formula": "LiMg4Au7",
  "functional": "PBE",
  "state": "optimized geometry",
  "lattice": [[4.8923, 0.0000, 0.0000], [2.4462, 8.6281, -0.1193], [2.4462, 0.2413, 5.5328]],
  "species": ["Au", "Au", "Au", "Au", "Au", "Au", "Au", "Mg", "Mg", "Mg", "Mg", "Li"],
  "frac_coords": [[0.6352, 0.4699, 0.2598], [0.5000, 0.0000, 0.0000], [0.0737, 0.6853, 0.1673], [0.7849, 0.9052, 0.5249], [0.2151, 0.0948, 0.4751], [0.9263, 0.3147, 0.8327], [0.3648, 0.5301, 0.7402], [0.2566, 0.3333, 0.1536], [0.5905, 0.2239, 0.5950], [0.4095, 0.7761, 0.4050], [0.7434, 0.6667, 0.8464], [0.0000, 0.0000, 0.0000]],
  "sg": "C2/m (12)",
  "magmom_total_mub_per_cell": 0.0,
  "final_energy_ev_per_atom": -3.04,
  "formation_energy_mev_per_atom": -437
}

[6]
{
  "formula": "Li2Mg8Au",
  "functional": "PBE",
  "state": "optimized geometry",
  "lattice": [[4.8414, 0.0000, 0.0000], [0.0000, 7.4653, -0.1956], [-2.4207, -3.3350, 6.2859]],
  "species": ["Mg", "Mg", "Mg", "Mg", "Mg", "Mg", "Mg", "Mg", "Li", "Li", "Au"],
  "frac_coords": [[0.0504, 0.7237, 0.1007], [0.9496, 0.2763, 0.8993], [0.3229, 0.0764, 0.6458], [0.4041, 0.5552, 0.8083], [0.8668, 0.8190, 0.7336], [0.6771, 0.9236, 0.3542], [0.5959, 0.4448, 0.1917], [0.1332, 0.1810, 0.2664], [0.7739, 0.3630, 0.5478], [0.2261, 0.6370, 0.4522], [0.5000, 0.0000, 0.0000]],
  "sg": "C2/m (12)",
  "magmom_total_mub_per_cell": 0.0,
  "final_energy_ev_per_atom": -1.95,
  "formation_energy_mev_per_atom": -147
}